First-principles (PBE-GGA) data for a geometry-optimized KHg4Pd structure, as listed in Alexandria via LeMat-Bulk.

Results
Uncorrected energy, eV per atom: -1.361
Formation energy, eV per formula unit: -0.67
Space group: P4/mmm, No. 123
D(E_F), states/eV/cell: 2.76
Spin magnetization, μB per cell: 0.00

a b c (Å): 5.3232 5.3232 8.1390
angles (deg): 90.00 90.00 90.00
With the nearest neighbours (Å) after each atom.
Positions (direct):
K  0.0000  0.0000  0.0000  8 Hg 4.03
Hg  0.0000  0.5000  0.5000  2 Pd 2.66
Hg  0.5000  0.0000  0.5000  2 Pd 2.66
Hg  0.5000  0.5000  0.1760  1 Pd 2.64, 1 Hg 2.86
Hg  0.5000  0.5000  0.8240  1 Pd 2.64, 1 Hg 2.86
Pd  0.5000  0.5000  0.5000  6 Hg 2.64-2.66